No. 1
A plane-wave DFT calculation with GGA-PBE was carried out for an optimized crystal structure of NdIn5Te4.

```
NdIn5Te4
1.0
-1.113 -0.616 4.309
-8.093 -3.519 -2.594
7.205 -6.011 -1.340
In Te Nd
5 4 1
Cartesian
0.052 -6.793 1.384 In
-2.054 -3.353 -1.010 In
2.216 -3.052 0.136 In
-4.217 -7.095 0.239 In
-4.603 -2.068 0.857 In
3.906 -6.601 2.407 Te
-0.485 -3.507 1.715 Te
-1.517 -6.639 -1.341 Te
-5.907 -3.545 -2.033 Te
-0.556 -0.308 2.154 Nd
```

Properties
Formation energy (no corrections) in meV/atom: -485
Space-group type: C2/m (12)
Total magnetization in μB/f.u.: 0.000

***

No. 2
A plane-wave DFT calculation with GGA-PBE was carried out for an optimized crystal structure of NaPt.

```
NaPt
1.0
2.829 0.000 0.000
-1.415 2.450 0.000
0.000 0.000 4.926
Pt Na
1 1
Cartesian
0.000 0.000 0.000 Pt
1.415 0.817 2.463 Na
```

Properties
Electronic total energy in hartree per atom: -0.1421
Space-group type: P-6m2 (187)
Total magnetization in μB/f.u.: 0.000

***

No. 3
A plane-wave DFT calculation with GGA-PBE was carried out for an optimized crystal structure of AcNdCuNi.

```
AcNdCuNi
1.0
-0.665 -2.092 -4.666
1.628 -4.804 -0.927
-3.423 -3.800 -0.658
Cu Ni Nd Ac
1 1 1 1
Cartesian
-0.615 -2.674 -1.563 Cu
-1.845 -8.023 -4.688 Ni
-1.230 -5.348 -3.125 Nd
0.000 0.000 0.000 Ac
```

Properties
Energy above the most stable polymorph in this dataset in meV/atom: 83
Space-group type: F-43m (216)
Total magnetization in μB/f.u.: 0.000

***

No. 4
A plane-wave DFT calculation with GGA-PBE was carried out for an optimized crystal structure of Sc3TlN.

```
Sc3TlN
1.0
-1.849 -4.181 1.917
5.806 -6.827 -9.290
5.329 -0.621 3.787
Tl Sc N
4 12 4
Cartesian
2.665 -0.310 1.893 Tl
1.979 -5.504 -3.687 Tl
-0.924 -2.090 0.958 Tl
5.568 -3.724 -2.752 Tl
7.325 -8.423 -4.899 Sc
8.039 -10.704 -2.776 Sc
2.681 -2.609 -3.105 Sc
5.891 -6.738 -2.605 Sc
6.605 -9.019 -0.482 Sc
3.396 -4.891 -0.982 Sc
1.248 -0.924 -0.811 Sc
1.962 -3.205 1.312 Sc
5.362 -4.359 2.070 Sc
2.763 -6.255 1.839 Sc
6.524 -5.374 -5.426 Sc
3.925 -7.269 -5.657 Sc
3.706 -4.171 0.897 N
3.023 -9.357 -4.686 N
6.263 -2.271 1.099 N
5.581 -7.457 -4.484 N
```

Properties
Formation energy (no corrections) in meV/atom: -759
Space-group type: Imma (74)
Total magnetization in μB/f.u.: 0.000

***

Ρ for every record listed, in sequence, given in g/cm3: 5.8; 10.6; 8.5; 5.6.